Pm8Pt2Rh3: optimized geometry, PBE.

The structure in POSCAR format:
```
Pm8Pt2Rh3
1.0
-4.961 0.198 -0.237
-0.515 -9.557 2.809
0.014 6.755 5.329
Pm Pt Rh
8 2 3
Direct
0.000 0.624 0.247
0.500 0.629 0.754
0.500 0.876 0.247
0.000 0.376 0.753
0.500 0.124 0.753
0.500 0.371 0.246
0.000 0.124 0.247
0.000 0.876 0.753
0.500 0.253 0.505
0.500 0.747 0.495
0.000 0.749 0.000
0.500 0.000 0.000
0.000 0.251 0.000
```

## Properties
relative energy among the computed polymorphs	0.0	meV/atom
calculated density	8.87	g/cm³
volume	348.08	Å³ per cell


Pm3Pt2Rh7: optimized geometry, PBE.

The structure in POSCAR format:
```
Pm3Pt2Rh7
1.0
5.093 0.000 1.594
2.297 4.546 1.594
-0.143 -0.088 9.389
Rh Pm Pt
7 3 2
Direct
0.082 0.584 0.750
0.584 0.082 0.750
0.918 0.416 0.250
0.416 0.416 0.250
0.500 0.500 0.500
0.416 0.918 0.250
0.584 0.584 0.750
0.000 0.000 0.000
0.139 0.139 0.582
0.861 0.861 0.418
0.667 0.667 0.999
0.333 0.333 0.001
```

## Properties
calculated density	11.73	g/cm³
volume	218.80	Å³ per cell


Pm2Pt2Rh: optimized geometry, PBE.

The structure in POSCAR format:
```
Pm2Pt2Rh
1.0
4.634 0.000 0.000
0.000 5.466 0.000
-2.317 -2.733 4.270
Rh Pm Pt
1 2 2
Direct
0.000 0.000 0.000
0.195 0.695 0.391
0.805 0.305 0.609
0.500 0.255 0.000
0.500 0.745 0.000
```

## Properties
calculated density	12.02	g/cm³
volume	108.14	Å³ per cell


Number 1: total energy -80.9 eV for the cell shown, energy of formation -0.68 eV/atom, density of states at the Fermi level 1.028 states/eV per atom. Number 2: total energy -85.3 eV for the cell shown, energy of formation -0.62 eV/atom, density of states at the Fermi level 0.841 states/eV per atom. Number 3: total energy -33.6 eV for the cell shown, energy of formation -0.93 eV/atom, density of states at the Fermi level 0.805 states/eV per atom.